LiGaP2 after structural relaxation, computed with PBE.

Lattice parameters (Å, degrees): 5.9352 5.9352 6.3755 62.26 62.26 90.00
With the nearest neighbours (Å) after each atom.
Atoms (fractional coordinates):
P (0.3750, 0.3573, 0.7500)  2 Ga 2.35, 2 Li 2.48
P (0.8750, 0.8927, 0.7500)  2 Ga 2.35, 2 Li 2.48
P (0.1073, 0.6250, 0.2500)  2 Ga 2.35, 2 Li 2.48
P (0.6427, 0.1250, 0.2500)  2 Ga 2.35, 2 Li 2.48
Li (0.5000, 0.5000, 0.0000)  4 P 2.48
Li (0.2500, 0.7500, 0.5000)  4 P 2.48
Ga (0.0000, 0.0000, 0.0000)  4 P 2.35
Ga (0.7500, 0.2500, 0.5000)  4 P 2.35

Summary:
ΔH_f (0 K) = 77 meV/atom
N(E_F) = 3.7 states/eV per cell

---

Pm4MgZn after structural relaxation, computed with PBE.

Lattice parameters (Å, degrees): 4.9901 4.9928 8.0210 90.02 89.99 90.00
With the nearest neighbours (Å) after each atom.
Atoms (fractional coordinates):
Pm (0.0013, 0.4973, 0.7211)  2 Zn 3.07, 2 Mg 3.34
Pm (0.0013, 0.4972, 0.2753)  2 Zn 3.07, 2 Mg 3.34
Pm (0.5013, 0.9974, 0.2752)  2 Zn 3.07, 2 Mg 3.34
Pm (0.5013, 0.9974, 0.7211)  2 Zn 3.07, 2 Mg 3.34
Mg (0.5014, 0.4971, 0.9979)  8 Pm 3.34
Zn (0.0012, 0.9975, 0.4981)  8 Pm 3.07

Summary:
Energy above the lowest structure with this stoichiometry = 30.52 kJ per mole of atoms
ΔH_f (0 K) = 194 meV/atom
N(E_F) = 9.9 states/eV per cell

---

MgIn2N2 after structural relaxation, computed with PBE.

Lattice parameters (Å, degrees): 3.3393 3.3392 8.0053 90.00 102.02 120.00
With the nearest neighbours (Å) after each atom.
Atoms (fractional coordinates):
In (0.1222, 0.5611, 0.6827)  3 N 2.25
In (0.8778, 0.4389, 0.3173)  3 N 2.25
Mg (0.0000, 0.0000, 0.0000)  6 N 2.33
N (0.5544, 0.2772, 0.8314)  3 In 2.25, 3 Mg 2.33
N (0.4456, 0.7228, 0.1686)  3 In 2.25, 3 Mg 2.33

Summary:
Energy above the lowest structure with this stoichiometry = 0.00 kJ per mole of atoms
Energy relative to the elements, uncorrected = -0.16 eV/atom